## CdIn2Os (PBEsol)

Data for an optimized crystal structure of CdIn2Os.

Lattice parameters (Å, degrees): 3.091 3.091 8.263 90.00 90.00 90.00
Fractional positions:
Cd 0.000 0.000 0.000
In 0.500 0.500 0.292
In 0.500 0.500 0.708
Os 0.000 0.000 0.500

Values from the calculation:
Crystal system: tetragonal
N(E_F): 2.535 states/eV/cell
E_form: 364 meV per atom
Calculated volume: 79.0 Å³/f.u.

## CdIn2Os (PBEsol)

Data for an optimized crystal structure of CdIn2Os.

Lattice parameters (Å, degrees): 2.991 2.991 30.760 90.00 90.00 120.00
Fractional positions:
Cd 0.000 0.000 0.000
Cd 0.333 0.667 0.667
Cd 0.667 0.333 0.333
In 0.000 0.000 0.241
In 0.000 0.000 0.478
In 0.333 0.667 0.145
In 0.333 0.667 0.908
In 0.667 0.333 0.574
In 0.667 0.333 0.811
Os 0.000 0.000 0.740
Os 0.333 0.667 0.407
Os 0.667 0.333 0.074

Values from the calculation:
Crystal system: trigonal
N(E_F): 7.404 states/eV/cell
E_form: 440 meV per atom
Calculated volume: 79.4 Å³/f.u.

## CdIn2Os (PBEsol)

Data for an optimized crystal structure of CdIn2Os.

Lattice parameters (Å, degrees): 3.625 3.625 5.750 90.00 90.00 90.00
Fractional positions:
Cd 0.000 0.000 0.000
In 0.000 0.000 0.528
In 0.500 0.500 0.243
Os 0.500 0.500 0.742

Values from the calculation:
Crystal system: tetragonal
N(E_F): 1.970 states/eV/cell
E_form: 401 meV per atom
Calculated volume: 75.6 Å³/f.u.

## CdIn2Os (PBEsol)

Data for an optimized crystal structure of CdIn2Os.

Lattice parameters (Å, degrees): 2.977 4.884 5.266 90.00 90.95 90.00
Fractional positions:
Cd 0.000 0.000 0.000
In 0.254 0.500 0.259
In 0.746 0.500 0.741
Os 0.500 0.000 0.500

Values from the calculation:
Crystal system: monoclinic
N(E_F): 1.954 states/eV/cell
E_form: 525 meV per atom
Calculated volume: 76.5 Å³/f.u.

no.,total magnetization (μB/atom),total energy (eV per atom)
1,0.000,-4.481
2,0.000,-4.405
3,0.044,-4.444
4,0.187,-4.319